Arrangement a

Compound: Sr2SiSb
Source: Alexandria via LeMat-Bulk
Functional: PBEsol
Structure: optimized geometry

Structure (CIF):
```
data_Sr2SiSb
_symmetry_space_group_name_H-M 'I 4/m m m'
_symmetry_Int_Tables_number 139
_symmetry_space_group_name_Hall '-I 4 2'
_cell_length_a 5.0359
_cell_length_b 5.0359
_cell_length_c 8.9354
_cell_angle_alpha 90.00
_cell_angle_beta 90.00
_cell_angle_gamma 90.00
loop_
_atom_site_label
_atom_site_type_symbol
_atom_site_fract_x
_atom_site_fract_y
_atom_site_fract_z
Sr1 Sr 0.0000 0.5000 0.2500
Si1 Si 0.0000 0.0000 0.0000
Sb1 Sb 0.0000 0.0000 0.5000
```

Output
**Density of states at the Fermi level**: 3.573 states/eV/cell

***

Arrangement b

Compound: Sr2SiSb
Source: Alexandria via LeMat-Bulk
Functional: PBEsol
Structure: optimized geometry

Structure (CIF):
```
data_Sr2SiSb
_symmetry_space_group_name_H-M 'I -4 2 d'
_symmetry_Int_Tables_number 122
_symmetry_space_group_name_Hall 'I -4 2bw'
_cell_length_a 8.5874
_cell_length_b 8.5874
_cell_length_c 6.6080
_cell_angle_alpha 90.00
_cell_angle_beta 90.00
_cell_angle_gamma 90.00
loop_
_atom_site_label
_atom_site_type_symbol
_atom_site_fract_x
_atom_site_fract_y
_atom_site_fract_z
Sr1 Sr 0.2350 0.7500 0.1250
Si1 Si 0.0000 0.0000 0.0000
Sb1 Sb 0.0000 0.0000 0.5000
```

Output
**Density of states at the Fermi level**: 13.292 states/eV/cell

***

Most stable: arrangement a

***

Arrangement a

Compound: Ta2SiSb
Source: Alexandria via LeMat-Bulk
Functional: PBEsol
Structure: optimized geometry

Structure (CIF):
```
data_Ta2SiSb
_symmetry_space_group_name_H-M 'C 1 2/m 1'
_symmetry_Int_Tables_number 12
_symmetry_space_group_name_Hall '-C 2y'
_cell_length_a 9.1225
_cell_length_b 3.3023
_cell_length_c 4.7826
_cell_angle_alpha 90.00
_cell_angle_beta 96.01
_cell_angle_gamma 90.00
loop_
_atom_site_label
_atom_site_type_symbol
_atom_site_fract_x
_atom_site_fract_y
_atom_site_fract_z
Ta1 Ta 0.2464 0.0000 0.2648
Si1 Si 0.0000 0.0000 0.5000
Sb1 Sb 0.0000 0.5000 0.0000
```

Output
**Density of states at the Fermi level**: 5.374 states/eV/cell

***

Arrangement b

Compound: Ta2SiSb
Source: Alexandria via LeMat-Bulk
Functional: PBEsol
Structure: optimized geometry

Structure (CIF):
```
data_Ta2SiSb
_symmetry_space_group_name_H-M 'C 1 m 1'
_symmetry_Int_Tables_number 8
_symmetry_space_group_name_Hall 'C -2y'
_cell_length_a 9.5538
_cell_length_b 3.3538
_cell_length_c 4.5751
_cell_angle_alpha 90.00
_cell_angle_beta 104.71
_cell_angle_gamma 90.00
loop_
_atom_site_label
_atom_site_type_symbol
_atom_site_fract_x
_atom_site_fract_y
_atom_site_fract_z
Ta1 Ta 0.0000 0.0000 0.0000
Ta2 Ta 0.2118 0.0000 0.6247
Si1 Si 0.4899 0.0000 0.5141
Sb1 Sb 0.2398 0.5000 0.1456
```

Output
**Density of states at the Fermi level**: 4.781 states/eV/cell

***

Most stable: arrangement b

***

Arrangement a

Compound: Ta2SiSb
Source: Alexandria via LeMat-Bulk
Functional: PBEsol
Structure: optimized geometry

Structure (CIF):
```
data_Ta2SiSb
_symmetry_space_group_name_H-M 'C m m m'
_symmetry_Int_Tables_number 65
_symmetry_space_group_name_Hall '-C 2 2'
_cell_length_a 3.7685
_cell_length_b 4.8752
_cell_length_c 7.6884
_cell_angle_alpha 90.00
_cell_angle_beta 90.00
_cell_angle_gamma 90.00
loop_
_atom_site_label
_atom_site_type_symbol
_atom_site_fract_x
_atom_site_fract_y
_atom_site_fract_z
Ta1 Ta 0.0000 0.0000 0.2195
Si1 Si 0.0000 0.5000 0.0000
Sb1 Sb 0.0000 0.5000 0.5000
```

Output
**Density of states at the Fermi level**: 5.492 states/eV/cell

***

Arrangement b

Compound: Ta2SiSb
Source: Alexandria via LeMat-Bulk
Functional: PBEsol
Structure: optimized geometry

Structure (CIF):
```
data_Ta2SiSb
_symmetry_space_group_name_H-M 'R 3 m'
_symmetry_Int_Tables_number 160
_symmetry_space_group_name_Hall 'R 3 -2"'
_cell_length_a 3.2071
_cell_length_b 3.2071
_cell_length_c 25.3969
_cell_angle_alpha 90.00
_cell_angle_beta 90.00
_cell_angle_gamma 120.00
loop_
_atom_site_label
_atom_site_type_symbol
_atom_site_fract_x
_atom_site_fract_y
_atom_site_fract_z
Ta1 Ta 0.0000 0.0000 0.0000
Ta2 Ta 0.0000 0.0000 0.2530
Si1 Si 0.0000 0.0000 0.5124
Sb1 Sb 0.0000 0.0000 0.7543
```

Output
**Density of states at the Fermi level**: 9.554 states/eV/cell

***

Most stable: arrangement a

***

Arrangement a

Compound: SiTcSb
Source: Alexandria via LeMat-Bulk
Functional: PBEsol
Structure: optimized geometry

Structure (CIF):
```
data_SiTcSb
_symmetry_space_group_name_H-M 'F m m 2'
_symmetry_Int_Tables_number 42
_symmetry_space_group_name_Hall 'F 2 -2'
_cell_length_a 3.2651
_cell_length_b 4.9862
_cell_length_c 13.0318
_cell_angle_alpha 90.00
_cell_angle_beta 90.00
_cell_angle_gamma 90.00
loop_
_atom_site_label
_atom_site_type_symbol
_atom_site_fract_x
_atom_site_fract_y
_atom_site_fract_z
Si1 Si 0.0000 0.0000 0.0000
Tc1 Tc 0.0000 0.0000 0.6316
Sb1 Sb 0.0000 0.0000 0.3012
```

Output
**Density of states at the Fermi level**: 8.290 states/eV/cell

***

Arrangement b

Compound: SiTcSb
Source: Alexandria via LeMat-Bulk
Functional: PBEsol
Structure: optimized geometry

Structure (CIF):
```
data_SiTcSb
_symmetry_space_group_name_H-M 'I 4 m m'
_symmetry_Int_Tables_number 107
_symmetry_space_group_name_Hall 'I 4 -2'
_cell_length_a 3.0969
_cell_length_b 3.0969
_cell_length_c 11.2383
_cell_angle_alpha 90.00
_cell_angle_beta 90.00
_cell_angle_gamma 90.00
loop_
_atom_site_label
_atom_site_type_symbol
_atom_site_fract_x
_atom_site_fract_y
_atom_site_fract_z
Si1 Si 0.0000 0.0000 0.0000
Tc1 Tc 0.0000 0.0000 0.6042
Sb1 Sb 0.0000 0.0000 0.2656
```

Output
**Density of states at the Fermi level**: 2.458 states/eV/cell

***

Most stable: arrangement b

***

Arrangement a

Compound: Zn2SiSb
Source: Alexandria via LeMat-Bulk
Functional: PBEsol
Structure: optimized geometry

Structure (CIF):
```
data_Zn2SiSb
_symmetry_space_group_name_H-M 'P 4 m m'
_symmetry_Int_Tables_number 99
_symmetry_space_group_name_Hall 'P 4 -2'
_cell_length_a 3.4274
_cell_length_b 3.4274
_cell_length_c 6.1406
_cell_angle_alpha 90.00
_cell_angle_beta 90.00
_cell_angle_gamma 90.00
loop_
_atom_site_label
_atom_site_type_symbol
_atom_site_fract_x
_atom_site_fract_y
_atom_site_fract_z
Zn1 Zn 0.0000 0.0000 0.0000
Zn2 Zn 0.5000 0.5000 0.2280
Si1 Si 0.5000 0.5000 0.8154
Sb1 Sb 0.0000 0.0000 0.5052
```

Output
**Density of states at the Fermi level**: 1.710 states/eV/cell

***

Arrangement b

Compound: Zn2SiSb
Source: Alexandria via LeMat-Bulk
Functional: PBEsol
Structure: optimized geometry

Structure (CIF):
```
data_Zn2SiSb
_symmetry_space_group_name_H-M 'I m m 2'
_symmetry_Int_Tables_number 44
_symmetry_space_group_name_Hall 'I 2 -2'
_cell_length_a 3.5821
_cell_length_b 3.7924
_cell_length_c 10.8963
_cell_angle_alpha 90.00
_cell_angle_beta 90.00
_cell_angle_gamma 90.00
loop_
_atom_site_label
_atom_site_type_symbol
_atom_site_fract_x
_atom_site_fract_y
_atom_site_fract_z
Zn1 Zn 0.0000 0.0000 0.0000
Zn2 Zn 0.0000 0.5000 0.1713
Si1 Si 0.0000 0.0000 0.4908
Sb1 Sb 0.0000 0.5000 0.7923
```

Output
**Density of states at the Fermi level**: 2.832 states/eV/cell

***

Most stable: arrangement b

***

Arrangement a

Compound: Sn2Sb2Te
Source: Alexandria via LeMat-Bulk
Functional: PBEsol
Structure: optimized geometry

Structure (CIF):
```
data_Sn2Sb2Te
_symmetry_space_group_name_H-M 'I 4/m m m'
_symmetry_Int_Tables_number 139
_symmetry_space_group_name_Hall '-I 4 2'
_cell_length_a 4.2437
_cell_length_b 4.2437
_cell_length_c 16.1612
_cell_angle_alpha 90.00
_cell_angle_beta 90.00
_cell_angle_gamma 90.00
loop_
_atom_site_label
_atom_site_type_symbol
_atom_site_fract_x
_atom_site_fract_y
_atom_site_fract_z
Sn1 Sn 0.0000 0.0000 0.0949
Sb1 Sb 0.0000 0.5000 0.2500
Te1 Te 0.0000 0.0000 0.5000
```

Output
**Density of states at the Fermi level**: 5.331 states/eV/cell

***

Arrangement b

Compound: Sn2Sb2Te
Source: Alexandria via LeMat-Bulk
Functional: PBEsol
Structure: optimized geometry

Structure (CIF):
```
data_Sn2Sb2Te
_symmetry_space_group_name_H-M 'I 4/m m m'
_symmetry_Int_Tables_number 139
_symmetry_space_group_name_Hall '-I 4 2'
_cell_length_a 4.2675
_cell_length_b 4.2675
_cell_length_c 15.5282
_cell_angle_alpha 90.00
_cell_angle_beta 90.00
_cell_angle_gamma 90.00
loop_
_atom_site_label
_atom_site_type_symbol
_atom_site_fract_x
_atom_site_fract_y
_atom_site_fract_z
Sn1 Sn 0.0000 0.5000 0.2500
Sb1 Sb 0.0000 0.0000 0.0976
Te1 Te 0.0000 0.0000 0.5000
```

Output
**Density of states at the Fermi level**: 3.771 states/eV/cell

***

Most stable: arrangement a